Computed, not measured: a geometry-optimized TlN2OF structure at the PBE-GGA level of DFT.

## Properties
Space-group type: P4/mmm, No. 123
VASP energy (eV/atom): -3.76
Formation energy from raw total energies (meV/atom): 1407.8

Cell: 3.611 3.611 5.900 Å, 90.00 90.00 90.00°
Element x y z (fractional)
Tl 0.000 0.000 0.000
N 0.000 0.500 0.500
N 0.500 0.000 0.500
O 0.500 0.500 0.500
F 0.500 0.500 0.000